Entry from the Alexandria database: a relaxed ZrSc2Pt9 crystal (PBE).

extended XYZ file:
```
12
Lattice="4.0231 0.0000 0.0000 0.0000 4.0231 0.0000 0.0000 0.0000 12.0639" Properties=species:S:1:pos:R:3 pbc="T T T"
Zr 0.0000 0.0000 0.0000
Sc 0.0000 0.0000 4.0581
Sc 0.0000 0.0000 8.0058
Pt 0.0000 2.0116 2.0223
Pt 0.0000 2.0116 6.0319
Pt 0.0000 2.0116 10.0416
Pt 2.0116 0.0000 2.0223
Pt 2.0116 0.0000 6.0319
Pt 2.0116 0.0000 10.0416
Pt 2.0116 2.0116 0.0000
Pt 2.0116 2.0116 4.0266
Pt 2.0116 2.0116 8.0373
```

Computed properties:
ΔE_f = -1.07 eV/atom
crystal system = tetragonal

Entry from the Alexandria database: a relaxed ZrScPt6 crystal (PBE).

extended XYZ file:
```
8
Lattice="4.0322 0.0000 0.0000 0.0000 4.0322 0.0000 0.0000 0.0000 8.0569" Properties=species:S:1:pos:R:3 pbc="T T T"
Zr 0.0000 0.0000 0.0000
Sc 0.0000 0.0000 4.0284
Pt 0.0000 2.0161 2.0186
Pt 0.0000 2.0161 6.0383
Pt 2.0161 0.0000 2.0186
Pt 2.0161 0.0000 6.0383
Pt 2.0161 2.0161 0.0000
Pt 2.0161 2.0161 4.0284
```

Computed properties:
ΔE_f = -1.07 eV/atom
crystal system = tetragonal

Entry from the Alexandria database: a relaxed ZrSc2Pt crystal (PBE).

extended XYZ file:
```
16
Lattice="6.8253 0.0000 0.0000 0.0000 6.8253 0.0000 0.0000 0.0000 6.8253" Properties=species:S:1:pos:R:3 pbc="T T T"
Zr 0.0000 0.0000 0.0000
Zr 0.0000 3.4126 3.4126
Zr 3.4126 0.0000 3.4126
Zr 3.4126 3.4126 0.0000
Sc 1.7063 1.7063 1.7063
Sc 1.7063 1.7063 5.1190
Sc 1.7063 5.1190 1.7063
Sc 1.7063 5.1190 5.1190
Sc 5.1190 1.7063 1.7063
Sc 5.1190 1.7063 5.1190
Sc 5.1190 5.1190 1.7063
Sc 5.1190 5.1190 5.1190
Pt 0.0000 0.0000 3.4126
Pt 0.0000 3.4126 0.0000
Pt 3.4126 0.0000 0.0000
Pt 3.4126 3.4126 3.4126
```

Computed properties:
ΔE_f = -0.43 eV/atom
crystal system = cubic

Entry from the Alexandria database: a relaxed ZrSc2Pt crystal (PBE).

extended XYZ file:
```
4
Lattice="3.3555 0.0000 0.0000 0.0000 4.3408 0.0000 -1.3379 0.0000 5.7207" Properties=species:S:1:pos:R:3 pbc="T T T"
Zr 0.0000 0.0000 0.0000
Sc 0.3891 2.1704 4.1815
Sc 1.6285 2.1704 1.5392
Pt -0.6689 0.0000 2.8603
```

Computed properties:
ΔE_f = -0.48 eV/atom
crystal system = monoclinic

Entry from the Alexandria database: a relaxed ZrSc2Pt crystal (PBE).

extended XYZ file:
```
8
Lattice="5.9425 0.0000 0.0000 0.0000 9.2864 0.0000 -0.9527 0.0000 2.8961" Properties=species:S:1:pos:R:3 pbc="T T T"
Zr 0.0000 0.0000 0.0000
Zr 2.9712 4.6432 0.0000
Sc 1.0093 2.3216 1.4480
Sc 1.0093 6.9648 1.4480
Sc 3.9805 2.3216 1.4480
Sc 3.9805 6.9648 1.4480
Pt 0.0000 4.6432 0.0000
Pt 2.9712 0.0000 0.0000
```

Computed properties:
ΔE_f = -0.37 eV/atom
crystal system = monoclinic

Entry from the Alexandria database: a relaxed ZrSc2Pt crystal (PBE).

extended XYZ file:
```
4
Lattice="4.8112 0.0000 0.0000 0.0000 4.8112 0.0000 0.0000 0.0000 3.4431" Properties=species:S:1:pos:R:3 pbc="T T T"
Zr 0.0000 0.0000 0.0000
Sc 0.0000 2.4056 1.7216
Sc 2.4056 0.0000 1.7216
Pt 2.4056 2.4056 0.0000
```

Computed properties:
ΔE_f = -0.47 eV/atom
crystal system = tetragonal

Entry from the Alexandria database: a relaxed ZrScPt crystal (PBE).

extended XYZ file:
```
6
Lattice="3.3855 0.0000 0.0000 0.0000 3.3855 0.0000 0.0000 0.0000 10.3505" Properties=species:S:1:pos:R:3 pbc="T T T"
Zr 0.0000 0.0000 0.0000
Zr 1.6927 1.6927 5.1753
Sc 0.0000 0.0000 3.1977
Sc 1.6927 1.6927 8.3729
Pt 0.0000 0.0000 6.7819
Pt 1.6927 1.6927 1.6066
```

Computed properties:
ΔE_f = -0.74 eV/atom
crystal system = tetragonal

Entry from the Alexandria database: a relaxed Zr2ScPt9 crystal (PBE).

extended XYZ file:
```
12
Lattice="4.0399 0.0000 0.0000 0.0000 4.0399 0.0000 0.0000 0.0000 12.1098" Properties=species:S:1:pos:R:3 pbc="T T T"
Zr 0.0000 0.0000 2.0571
Zr 0.0000 0.0000 10.0528
Sc 0.0000 0.0000 6.0549
Pt 0.0000 2.0200 0.0000
Pt 0.0000 2.0200 4.0426
Pt 0.0000 2.0200 8.0673
Pt 2.0200 0.0000 0.0000
Pt 2.0200 0.0000 4.0426
Pt 2.0200 0.0000 8.0673
Pt 2.0200 2.0200 2.0193
Pt 2.0200 2.0200 6.0549
Pt 2.0200 2.0200 10.0905
```

Computed properties:
ΔE_f = -1.06 eV/atom
crystal system = tetragonal

Entry from the Alexandria database: a relaxed Zr3ScPt2 crystal (PBE).

extended XYZ file:
```
12
Lattice="4.6151 0.0000 0.0000 0.0000 8.2137 0.0000 0.0000 0.0000 6.6372" Properties=species:S:1:pos:R:3 pbc="T T T"
Zr 0.0000 0.5877 0.0000
Zr 0.0000 2.7585 2.3075
Zr 0.0000 5.4551 5.6262
Zr 0.0000 7.6260 3.3186
Zr 2.3075 1.3735 4.4195
Zr 2.3075 6.8402 1.1009
Sc 2.3075 3.5528 0.1242
Sc 2.3075 4.6609 3.4428
Pt 0.0000 2.7946 5.0087
Pt 0.0000 5.4190 1.6900
Pt 2.3075 1.3207 1.7204
Pt 2.3075 6.8930 5.0390
```

Computed properties:
ΔE_f = -0.82 eV/atom
crystal system = orthorhombic

Entry from the Alexandria database: a relaxed ZrSc3Pt2 crystal (PBE).

extended XYZ file:
```
12
Lattice="4.5431 0.0000 0.0000 0.0000 8.2838 0.0000 0.0000 0.0000 6.5361" Properties=species:S:1:pos:R:3 pbc="T T T"
Zr 0.0000 0.6108 0.0000
Zr 0.0000 7.6729 3.2680
Sc 0.0000 2.7364 4.1829
Sc 0.0000 5.5473 0.9149
Sc 2.2715 1.4432 2.2270
Sc 2.2715 3.5369 6.3878
Sc 2.2715 4.7469 3.1197
Sc 2.2715 6.8406 5.4951
Pt 0.0000 2.8618 1.4994
Pt 0.0000 5.4219 4.7674
Pt 2.2715 1.2691 4.9355
Pt 2.2715 7.0147 1.6675
```

Computed properties:
ΔE_f = -0.93 eV/atom
crystal system = orthorhombic

Entry from the Alexandria database: a relaxed ZrSc3Pt4 crystal (PBE).

extended XYZ file:
```
16
Lattice="4.7008 0.0000 0.0000 0.0000 4.7008 0.0000 0.0000 0.0000 13.2413" Properties=species:S:1:pos:R:3 pbc="T T T"
Zr 0.0000 0.0000 0.0000
Zr 2.3504 2.3504 6.6206
Sc 0.0000 0.0000 3.3275
Sc 0.0000 0.0000 6.6206
Sc 0.0000 0.0000 9.9138
Sc 2.3504 2.3504 0.0000
Sc 2.3504 2.3504 3.2932
Sc 2.3504 2.3504 9.9481
Pt 0.0000 2.3504 1.6507
Pt 0.0000 2.3504 4.9700
Pt 0.0000 2.3504 8.2713
Pt 0.0000 2.3504 11.5906
Pt 2.3504 0.0000 1.6507
Pt 2.3504 0.0000 4.9700
Pt 2.3504 0.0000 8.2713
Pt 2.3504 0.0000 11.5906
```

Computed properties:
ΔE_f = -1.16 eV/atom
crystal system = tetragonal

Entry from the Alexandria database: a relaxed ZrSc4Pt5 crystal (PBE).

extended XYZ file:
```
10
Lattice="3.2404 0.0000 0.0000 0.0000 3.2404 0.0000 0.0000 0.0000 17.2199" Properties=species:S:1:pos:R:3 pbc="T T T"
Zr 0.0000 0.0000 0.0000
Sc 0.0000 0.0000 3.5052
Sc 0.0000 0.0000 6.9054
Sc 0.0000 0.0000 10.3145
Sc 0.0000 0.0000 13.7147
Pt 1.6202 1.6202 1.8406
Pt 1.6202 1.6202 5.2135
Pt 1.6202 1.6202 8.6099
Pt 1.6202 1.6202 12.0064
Pt 1.6202 1.6202 15.3793
```

Computed properties:
ΔE_f = -1.18 eV/atom
crystal system = tetragonal

Entry from the Alexandria database: a relaxed ZrSc2Pt crystal (PBE).

extended XYZ file:
```
8
Lattice="3.5032 0.0000 0.0000 0.0000 4.7549 0.0000 0.0000 0.0000 9.9339" Properties=species:S:1:pos:R:3 pbc="T T T"
Zr 0.0000 0.0000 0.0000
Zr 1.7516 2.3774 4.9670
Sc 0.0000 2.3774 2.1620
Sc 0.0000 2.3774 7.7719
Sc 1.7516 0.0000 2.8049
Sc 1.7516 0.0000 7.1290
Pt 0.0000 0.0000 4.9670
Pt 1.7516 2.3774 0.0000
```

Computed properties:
ΔE_f = -0.58 eV/atom
crystal system = orthorhombic

Entry from the Alexandria database: a relaxed Zr2Sc2Pt crystal (PBE).

extended XYZ file:
```
10
Lattice="6.9131 0.0000 0.0000 0.0000 6.9131 0.0000 0.0000 0.0000 4.8248" Properties=species:S:1:pos:R:3 pbc="T T T"
Zr 1.0197 2.4369 0.0000
Zr 2.4369 5.8934 0.0000
Zr 4.4762 1.0197 0.0000
Zr 5.8934 4.4762 0.0000
Sc 1.1010 4.5575 2.4124
Sc 2.3556 1.1010 2.4124
Sc 4.5575 5.8121 2.4124
Sc 5.8121 2.3556 2.4124
Pt 0.0000 0.0000 0.0000
Pt 3.4565 3.4565 0.0000
```

Computed properties:
ΔE_f = -0.24 eV/atom
crystal system = tetragonal

Entry from the Alexandria database: a relaxed ZrSc2Pt crystal (PBE).

extended XYZ file:
```
12
Lattice="3.3267 0.0000 0.0000 -1.6634 2.8810 0.0000 0.0000 0.0000 27.2308" Properties=species:S:1:pos:R:3 pbc="T T T"
Zr 0.0000 0.0000 0.0000
Zr 0.0000 1.9207 18.1539
Zr 1.6634 0.9603 9.0769
Sc 0.0000 0.0000 6.4788
Sc 0.0000 0.0000 20.7520
Sc 0.0000 1.9207 11.6751
Sc 0.0000 1.9207 24.6327
Sc 1.6634 0.9603 2.5981
Sc 1.6634 0.9603 15.5557
Pt 0.0000 0.0000 13.6154
Pt 0.0000 1.9207 4.5385
Pt 1.6634 0.9603 22.6923
```

Computed properties:
ΔE_f = -0.40 eV/atom
crystal system = trigonal

Entry from the Alexandria database: a relaxed ZrSc2Pt crystal (PBE).

extended XYZ file:
```
4
Lattice="3.3855 0.0000 0.0000 0.0000 3.3855 0.0000 0.0000 0.0000 7.4082" Properties=species:S:1:pos:R:3 pbc="T T T"
Zr 0.0000 0.0000 0.0000
Sc 0.0000 0.0000 3.1688
Sc 1.6928 1.6928 5.4536
Pt 1.6928 1.6928 1.7056
```

Computed properties:
ΔE_f = -0.55 eV/atom
crystal system = tetragonal

Entry from the Alexandria database: a relaxed ZrSc2Pt2 crystal (PBE).

extended XYZ file:
```
10
Lattice="8.0552 0.0000 0.0000 0.0000 8.0552 0.0000 0.0000 0.0000 2.9296" Properties=species:S:1:pos:R:3 pbc="T T T"
Zr 0.0000 0.0000 0.0000
Zr 4.0276 4.0276 0.0000
Sc 1.1315 2.8962 0.0000
Sc 2.8962 6.9238 0.0000
Sc 5.1591 1.1315 0.0000
Sc 6.9238 5.1591 0.0000
Pt 1.2773 5.3049 1.4648
Pt 2.7504 1.2773 1.4648
Pt 5.3049 6.7780 1.4648
Pt 6.7780 2.7504 1.4648
```

Computed properties:
ΔE_f = -0.82 eV/atom
crystal system = tetragonal

Entry from the Alexandria database: a relaxed Zr5ScPt6 crystal (PBE).

extended XYZ file:
```
12
Lattice="5.0918 0.0000 0.0000 -1.1766 6.7411 0.0000 -1.5775 -3.2363 6.6969" Properties=species:S:1:pos:R:3 pbc="T T T"
Zr 0.0000 0.0000 0.0000
Zr 0.0016 -0.1933 4.1329
Zr -0.3466 3.1374 4.6912
Zr 2.6843 0.3674 2.0057
Zr 2.3361 3.6982 2.5640
Sc -0.5883 3.3706 0.0000
Pt 0.1686 1.7997 2.2355
Pt -0.2319 4.8279 2.2027
Pt 0.4177 -1.3162 6.6145
Pt 1.9200 4.8210 0.0824
Pt 2.5697 -1.3230 4.4942
Pt 2.1691 1.7052 4.4615
```

Computed properties:
ΔE_f = -1.00 eV/atom
crystal system = triclinic

Entry from the Alexandria database: a relaxed ZrSc2Pt crystal (PBE).

extended XYZ file:
```
8
Lattice="3.4676 0.0000 0.0000 0.0000 4.7909 0.0000 0.0000 0.0000 9.9897" Properties=species:S:1:pos:R:3 pbc="T T T"
Zr 0.0000 0.0000 0.0000
Zr 1.7338 2.3954 4.9949
Sc 0.0000 0.0000 5.6399
Sc 0.0000 2.3954 7.7940
Sc 1.7338 0.0000 2.7992
Sc 1.7338 2.3954 0.6450
Pt 0.0000 2.3954 2.8123
Pt 1.7338 0.0000 7.8072
```

Computed properties:
ΔE_f = -0.62 eV/atom
crystal system = orthorhombic

Entry from the Alexandria database: a relaxed ZrSc2Pt crystal (PBE).

extended XYZ file:
```
4
Lattice="4.3148 0.0000 0.0000 0.0000 4.3148 0.0000 0.0000 0.0000 4.3218" Properties=species:S:1:pos:R:3 pbc="T T T"
Zr 0.0000 0.0000 0.0000
Sc 0.0000 2.1574 2.1609
Sc 2.1574 0.0000 2.1609
Pt 2.1574 2.1574 0.0000
```

Computed properties:
ΔE_f = -0.49 eV/atom
crystal system = tetragonal

Entry from the Alexandria database: a relaxed ZrScPt crystal (PBE).

extended XYZ file:
```
3
Lattice="4.5459 0.0000 0.0000 -2.2729 3.9368 0.0000 0.0000 0.0000 3.3619" Properties=species:S:1:pos:R:3 pbc="T T T"
Zr 0.0000 0.0000 0.0000
Sc 2.2729 1.3123 1.9173
Pt 0.0000 2.6246 0.9328
```

Computed properties:
ΔE_f = -0.61 eV/atom
crystal system = trigonal

Entry from the Alexandria database: a relaxed ZrSc2Pt2 crystal (PBE).

extended XYZ file:
```
10
Lattice="7.3366 0.0000 0.0000 0.0000 7.3366 0.0000 0.0000 0.0000 3.7014" Properties=species:S:1:pos:R:3 pbc="T T T"
Zr 0.0000 0.0000 0.0000
Zr 3.6683 3.6683 0.0000
Sc 1.1897 2.4786 1.8507
Sc 2.4786 6.1469 1.8507
Sc 4.8580 1.1897 1.8507
Sc 6.1469 4.8580 1.8507
Pt 1.0092 4.6775 0.0000
Pt 2.6591 1.0092 0.0000
Pt 4.6775 6.3274 0.0000
Pt 6.3274 2.6591 0.0000
```

Computed properties:
ΔE_f = -0.95 eV/atom
crystal system = tetragonal

Entry from the Alexandria database: a relaxed Zr2Sc2Pt crystal (PBE).

extended XYZ file:
```
10
Lattice="6.8091 0.0000 0.0000 0.0000 6.8091 0.0000 0.0000 0.0000 4.7910" Properties=species:S:1:pos:R:3 pbc="T T T"
Zr 1.0575 2.3471 0.0000
Zr 2.3471 5.7516 0.0000
Zr 4.4620 1.0575 0.0000
Zr 5.7516 4.4620 0.0000
Sc 1.0343 4.4389 2.3955
Sc 2.3702 1.0343 2.3955
Sc 4.4389 5.7748 2.3955
Sc 5.7748 2.3702 2.3955
Pt 0.0000 0.0000 2.3955
Pt 3.4046 3.4046 2.3955
```

Computed properties:
ΔE_f = -0.26 eV/atom
crystal system = tetragonal

Entry from the Alexandria database: a relaxed ZrSc2Pt crystal (PBE).

extended XYZ file:
```
4
Lattice="3.3214 0.0000 0.0000 0.0000 3.3214 0.0000 0.0000 0.0000 7.4793" Properties=species:S:1:pos:R:3 pbc="T T T"
Zr 0.0000 0.0000 0.0000
Sc 1.6607 1.6607 2.1380
Sc 1.6607 1.6607 5.3413
Pt 0.0000 0.0000 3.7396
```

Computed properties:
ΔE_f = -0.63 eV/atom
crystal system = tetragonal

Entry from the Alexandria database: a relaxed Pt3Se crystal (PBE).

extended XYZ file:
```
12
Lattice="2.9640 0.0000 0.0000 -1.4820 2.5669 0.0000 0.0000 0.0000 25.8345" Properties=species:S:1:pos:R:3 pbc="T T T"
Pt 0.0000 0.0000 0.0000
Pt 0.0000 0.0000 6.3713
Pt 0.0000 0.0000 19.4632
Pt 0.0000 1.7113 10.8517
Pt 0.0000 1.7113 17.2230
Pt 0.0000 1.7113 23.5943
Pt 1.4820 0.8556 2.2402
Pt 1.4820 0.8556 8.6115
Pt 1.4820 0.8556 14.9828
Se 0.0000 0.0000 12.9173
Se 0.0000 1.7113 4.3058
Se 1.4820 0.8556 21.5287
```

Computed properties:
uncorrected formation energy = 0.6 eV/f.u.
crystal system = trigonal

Entry from the Alexandria database: a relaxed PtSe3 crystal (PBE).

extended XYZ file:
```
8
Lattice="3.6694 0.0000 0.0000 0.0000 4.4739 0.0000 0.0000 0.0000 11.1410" Properties=species:S:1:pos:R:3 pbc="T T T"
Pt 0.0000 0.0000 0.0000
Pt 1.8347 2.2370 5.5705
Se 0.0000 0.0000 5.5705
Se 0.0000 2.2370 3.8255
Se 0.0000 2.2370 7.3155
Se 1.8347 0.0000 1.7450
Se 1.8347 0.0000 9.3960
Se 1.8347 2.2370 0.0000
```

Computed properties:
uncorrected formation energy = 0.4 eV/f.u.
crystal system = orthorhombic

| no. | E_tot (eV per atom) |
| --- | --- |
| 1 | -7.37 |
| 2 | -7.46 |
| 3 | -7.24 |
| 4 | -7.29 |
| 5 | -7.18 |
| 6 | -7.28 |
| 7 | -7.71 |
| 8 | -7.54 |
| 9 | -8.16 |
| 10 | -7.53 |
| 11 | -7.62 |
| 12 | -7.58 |
| 13 | -7.40 |
| 14 | -7.40 |
| 15 | -7.21 |
| 16 | -7.36 |
| 17 | -7.48 |
| 18 | -8.11 |
| 19 | -7.43 |
| 20 | -7.31 |
| 21 | -7.59 |
| 22 | -7.61 |
| 23 | -7.42 |
| 24 | -7.45 |
| 25 | -5.26 |
| 26 | -4.04 |